1.
Compound: NpAs2Ru2
Source: Alexandria
Functional: PBE
Structure: optimized geometry

E_form ... -111 kJ/mol of formula units
Mass density ... 11.036 Mg/m³

a = 4.0815 Å, b = 4.0815 Å, c = 5.3200 Å
α = 90.00°, β = 90.00°, γ = 90.00°
Each line ends with the local moment (μB).
Fractional coordinates of all 5 atoms:
Np: 0.0000 0.0000 0.0000  3.77
As: 0.5000 0.5000 0.7664  -0.01
As: 0.5000 0.5000 0.2336  -0.01
Ru: 0.5000 0.0000 0.5000  -0.20
Ru: 0.0000 0.5000 0.5000  -0.20

=====

2.
Compound: NpAs2Ru
Source: Alexandria
Functional: PBE
Structure: optimized geometry

E_form ... 74 kJ/mol of formula units
Mass density ... 11.271 Mg/m³

a = 2.9207 Å, b = 2.9207 Å, c = 9.8756 Å
α = 81.50°, β = 81.50°, γ = 60.00°
Each line ends with the local moment (μB).
Fractional coordinates of all 4 atoms:
Np: 0.5000 0.5000 0.5000  2.58
Ru: 0.0000 0.0000 0.0000  -0.15
As: 0.0814 0.0814 0.7557  -0.04
As: 0.9186 0.9186 0.2443  -0.04

=====

3.
Compound: NpAs2Ru
Source: Alexandria
Functional: PBE
Structure: optimized geometry

E_form ... -90 kJ/mol of formula units
Mass density ... 10.141 Mg/m³

a = 3.8201 Å, b = 3.8201 Å, c = 6.6954 Å
α = 73.42°, β = 73.42°, γ = 60.00°
Each line ends with the local moment (μB).
Fractional coordinates of all 4 atoms:
Np: 0.6706 0.6706 0.9881  3.84
As: 0.0985 0.0985 0.7046  -0.02
As: 0.2365 0.2365 0.2905  -0.01
Ru: 0.4944 0.4944 0.5168  0.03

=====

4.
Compound: NpAsRu
Source: Alexandria
Functional: PBE
Structure: optimized geometry

E_form ... -110 kJ/mol of formula units
Mass density ... 11.815 Mg/m³

a = 4.1560 Å, b = 4.1560 Å, c = 7.3339 Å
α = 106.44°, β = 106.44°, γ = 90.00°
Each line ends with the local moment (μB).
Fractional coordinates of all 6 atoms:
Np: 0.3458 0.3458 0.6912  3.73
Np: 0.6542 0.6542 0.3088  3.73
As: 0.8795 0.8795 0.7587  -0.04
As: 0.1205 0.1205 0.2413  -0.04
Ru: 0.5000 0.0000 0.0000  -0.29
Ru: 0.0000 0.5000 0.0000  -0.29

=====

Number 1 is which compound?
NpAs2Ru2

=====

Please write out number 4 again, unchanged.
Compound: NpAsRu
Source: Alexandria
Functional: PBE
Structure: optimized geometry

E_form ... -110 kJ/mol of formula units
Mass density ... 11.815 Mg/m³

a = 4.1560 Å, b = 4.1560 Å, c = 7.3339 Å
α = 106.44°, β = 106.44°, γ = 90.00°
Each line ends with the local moment (μB).
Fractional coordinates of all 6 atoms:
Np: 0.3458 0.3458 0.6912  3.73
Np: 0.6542 0.6542 0.3088  3.73
As: 0.8795 0.8795 0.7587  -0.04
As: 0.1205 0.1205 0.2413  -0.04
Ru: 0.5000 0.0000 0.0000  -0.29
Ru: 0.0000 0.5000 0.0000  -0.29